[1]
The following is a DFT calculation (PBE) of an optimized crystal structure of SrPr2Au.

Output
DFT total energy, eV for the cell shown: -15.39
Calculated density, Mg/m³: 6.2
Space group: No. 166

a = 10.8836 Å, b = 10.8836 Å, c = 10.8836 Å
α = 21.56°, β = 21.56°, γ = 21.56°
With the nearest neighbours (Å) after each atom.
Atoms (fractional coordinates):
Sr (0.0000, 0.0000, 0.0000)  6 Sr 4.07, 6 Pr 4.12
Pr (0.2271, 0.2271, 0.2271)  3 Au 3.04
Pr (0.7729, 0.7729, 0.7729)  3 Au 3.04
Au (0.5000, 0.5000, 0.5000)  6 Pr 3.04



[2]
The following is a DFT calculation (PBE) of an optimized crystal structure of Sr2PrAu.

Output
DFT total energy, eV for the cell shown: -11.75
Calculated density, Mg/m³: 5.2
Space group: No. 166

a = 11.9092 Å, b = 11.9092 Å, c = 11.9092 Å
α = 19.38°, β = 19.38°, γ = 19.38°
With the nearest neighbours (Å) after each atom.
Atoms (fractional coordinates):
Sr (0.1079, 0.1079, 0.1079)  3 Au 3.10
Sr (0.8921, 0.8921, 0.8921)  3 Au 3.10
Pr (0.0000, 0.0000, 0.0000)  2 Sr 3.78, 6 Pr 4.01
Au (0.5000, 0.5000, 0.5000)  6 Sr 3.10



[3]
The following is a DFT calculation (PBE) of an optimized crystal structure of SrPrAu.

Output
DFT total energy, eV for the cell shown: -10.87
Calculated density, Mg/m³: 6.8
Space group: No. 216

a = 5.2660 Å, b = 5.2660 Å, c = 5.2660 Å
α = 60.00°, β = 60.00°, γ = 60.00°
With the nearest neighbours (Å) after each atom.
Atoms (fractional coordinates):
Sr (0.0000, 0.0000, 0.0000)  4 Au 3.22
Pr (0.5000, 0.5000, 0.5000)  4 Au 3.22
Au (0.7500, 0.7500, 0.7500)  4 Pr 3.22, 4 Sr 3.22



[4]
The following is a DFT calculation (PBE) of an optimized crystal structure of SrPrAu4.

Output
DFT total energy, eV for the cell shown: -24.12
Calculated density, Mg/m³: 11.2
Space group: No. 47

a = 3.7855 Å, b = 4.9329 Å, c = 8.0680 Å
α = 90.00°, β = 90.00°, γ = 90.00°
With the nearest neighbours (Å) after each atom.
Atoms (fractional coordinates):
Sr (0.0000, 0.0000, 0.0000)  12 Au 3.27-3.41
Pr (0.0000, 0.5000, 0.5000)  12 Au 3.24-3.40
Au (0.5000, 0.0000, 0.3306)  3 Au 2.73-2.77
Au (0.5000, 0.0000, 0.6694)  3 Au 2.73-2.77
Au (0.5000, 0.5000, 0.1741)  3 Au 2.77-2.81
Au (0.5000, 0.5000, 0.8259)  3 Au 2.77-2.81



[5]
The following is a DFT calculation (PBE) of an optimized crystal structure of SrPrAu.

Output
DFT total energy, eV for the cell shown: -11.14
Calculated density, Mg/m³: 7.0
Space group: No. 107

a = 7.3618 Å, b = 7.3618 Å, c = 7.3618 Å
α = 149.71°, β = 149.71°, γ = 43.37°
With the nearest neighbours (Å) after each atom.
Atoms (fractional coordinates):
Sr (0.0000, 0.0000, 0.0000)  4 Au 3.43, 1 Pr 3.62
Pr (0.2648, 0.2648, 0.0000)  4 Au 3.12
Au (0.6526, 0.6526, 0.0000)  4 Pr 3.12, 4 Sr 3.43



[6]
The following is a DFT calculation (PBE) of an optimized crystal structure of SrPrTlAu.

Output
DFT total energy, eV for the cell shown: -14.17
Calculated density, Mg/m³: 8.9
Space group: No. 216

a = 5.5074 Å, b = 5.5074 Å, c = 5.5074 Å
α = 60.00°, β = 60.00°, γ = 60.00°
With the nearest neighbours (Å) after each atom.
Atoms (fractional coordinates):
Sr (0.0000, 0.0000, 0.0000)  4 Tl 3.37, 4 Au 3.37
Pr (0.5000, 0.5000, 0.5000)  4 Tl 3.37, 4 Au 3.37
Tl (0.7500, 0.7500, 0.7500)  4 Pr 3.37, 4 Sr 3.37
Au (0.2500, 0.2500, 0.2500)  4 Pr 3.37, 4 Sr 3.37



[7]
The following is a DFT calculation (PBE) of an optimized crystal structure of SrPrZn2Au5.

Output
DFT total energy, eV for the cell shown: -29.90
Calculated density, Mg/m³: 11.4
Space group: No. 123

a = 4.5881 Å, b = 4.5881 Å, c = 9.2824 Å
α = 90.00°, β = 90.00°, γ = 90.00°
With the nearest neighbours (Å) after each atom.
Atoms (fractional coordinates):
Sr (0.0000, 0.0000, 0.0000)  12 Au 3.20-3.24
Pr (0.0000, 0.0000, 0.5000)  8 Au 3.33, 8 Zn 3.47
Zn (0.5000, 0.5000, 0.3684)  1 Zn 2.44, 4 Au 2.59
Zn (0.5000, 0.5000, 0.6316)  1 Zn 2.44, 4 Au 2.59
Au (0.0000, 0.5000, 0.2397)  2 Zn 2.59
Au (0.0000, 0.5000, 0.7603)  2 Zn 2.59
Au (0.5000, 0.0000, 0.2397)  2 Zn 2.59
Au (0.5000, 0.0000, 0.7603)  2 Zn 2.59
Au (0.5000, 0.5000, 0.0000)  8 Au 3.20, 4 Sr 3.24, 2 Zn 3.42



[8]
The following is a DFT calculation (PBE) of an optimized crystal structure of Tb5PrAu6.

Output
DFT total energy, eV for the cell shown: -57.55
Calculated density, Mg/m³: 12.2
Space group: No. 10

a = 5.1491 Å, b = 7.2290 Å, c = 8.1768 Å
α = 90.00°, β = 108.16°, γ = 90.00°
With the nearest neighbours (Å) after each atom.
Atoms (fractional coordinates):
Tb (0.0000, 0.0000, 0.0000)  8 Au 3.09-3.21
Tb (0.3319, 0.5000, 0.6652)  8 Au 3.10-3.22
Tb (0.3334, 0.0000, 0.6685)  8 Au 3.09-3.14
Tb (0.6666, 0.0000, 0.3315)  8 Au 3.09-3.14
Tb (0.6681, 0.5000, 0.3348)  8 Au 3.10-3.22
Pr (0.0000, 0.5000, 0.0000)  8 Au 3.20-3.24
Au (0.1734, 0.2467, 0.3434)  7 Tb 3.09-3.21, 1 Pr 3.24
Au (0.1734, 0.7533, 0.3434)  7 Tb 3.09-3.21, 1 Pr 3.24
Au (0.5000, 0.2371, 0.0000)  6 Tb 3.09-3.22, 2 Pr 3.20, 1 Au 3.43
Au (0.5000, 0.7629, 0.0000)  6 Tb 3.09-3.22, 2 Pr 3.20, 1 Au 3.43
Au (0.8266, 0.2467, 0.6566)  7 Tb 3.09-3.21, 1 Pr 3.24
Au (0.8266, 0.7533, 0.6566)  7 Tb 3.09-3.21, 1 Pr 3.24



[9]
The following is a DFT calculation (PBE) of an optimized crystal structure of Tb3PrAu.

Output
DFT total energy, eV for the cell shown: -46.68
Calculated density, Mg/m³: 8.9
Space group: No. 11

a = 7.4419 Å, b = 5.2978 Å, c = 7.6763 Å
α = 90.00°, β = 90.06°, γ = 90.00°
With the nearest neighbours (Å) after each atom.
Atoms (fractional coordinates):
Tb (0.0314, 0.2500, 0.3244)  3 Au 2.86-3.20
Tb (0.2487, 0.7500, 0.0597)  1 Au 2.79
Tb (0.4683, 0.2500, 0.3235)  3 Au 2.86-3.20
Tb (0.5317, 0.7500, 0.6765)  3 Au 2.86-3.20
Tb (0.7513, 0.2500, 0.9403)  1 Au 2.79
Tb (0.9686, 0.7500, 0.6756)  3 Au 2.86-3.20
Pr (0.2507, 0.2500, 0.7959)  6 Tb 3.33-3.50
Pr (0.7493, 0.7500, 0.2041)  6 Tb 3.33-3.50
Au (0.2502, 0.7500, 0.4227)  3 Tb 2.79-2.86
Au (0.7498, 0.2500, 0.5773)  3 Tb 2.79-2.86



[10]
The following is a DFT calculation (PBE) of an optimized crystal structure of TbPr3Au2.

Output
DFT total energy, eV for the cell shown: -57.57
Calculated density, Mg/m³: 9.3
Space group: No. 26

a = 5.1364 Å, b = 9.3853 Å, c = 7.2537 Å
α = 90.00°, β = 90.00°, γ = 90.00°
With the nearest neighbours (Å) after each atom.
Atoms (fractional coordinates):
Tb (0.0000, 0.0747, 0.0000)  3 Au 2.99-3.18
Tb (0.0000, 0.9253, 0.5000)  3 Au 2.99-3.18
Pr (0.0000, 0.3347, 0.6451)  4 Au 3.04-3.21
Pr (0.0000, 0.6653, 0.1451)  4 Au 3.04-3.21
Pr (0.5000, 0.1625, 0.3422)  4 Au 2.99-3.18
Pr (0.5000, 0.4244, 0.9866)  3 Au 3.05-3.20
Pr (0.5000, 0.5756, 0.4866)  3 Au 3.05-3.20
Pr (0.5000, 0.8375, 0.8422)  4 Au 2.99-3.18
Au (0.0000, 0.3411, 0.2260)  1 Tb 2.99, 6 Pr 3.04-3.20
Au (0.0000, 0.6589, 0.7260)  1 Tb 2.99, 6 Pr 3.04-3.20
Au (0.5000, 0.1497, 0.7611)  5 Pr 2.99-3.21, 2 Tb 3.18
Au (0.5000, 0.8503, 0.2611)  5 Pr 2.99-3.21, 2 Tb 3.18



[11]
The following is a DFT calculation (PBE) of an optimized crystal structure of TbPrAu2.

Output
DFT total energy, eV for the cell shown: -19.24
Calculated density, Mg/m³: 11.2
Space group: No. 6

a = 3.8398 Å, b = 4.7696 Å, c = 5.9436 Å
α = 90.00°, β = 108.96°, γ = 90.00°
With the nearest neighbours (Å) after each atom.
Atoms (fractional coordinates):
Tb (0.0000, 0.0000, 0.0000)  7 Au 3.11-3.15
Pr (0.7234, 0.5000, 0.4483)  7 Au 3.06-3.20
Au (0.2773, 0.0000, 0.5561)  2 Au 3.08, 4 Pr 3.12, 3 Tb 3.13-3.15
Au (0.4516, 0.5000, 0.9032)  3 Pr 3.06-3.20, 2 Au 3.08, 4 Tb 3.11



[12]
The following is a DFT calculation (PBE) of an optimized crystal structure of TbPrAu2.

Output
DFT total energy, eV for the cell shown: -19.19
Calculated density, Mg/m³: 11.6
Space group: No. 123

a = 3.6469 Å, b = 3.6469 Å, c = 7.4737 Å
α = 90.00°, β = 90.00°, γ = 90.00°
With the nearest neighbours (Å) after each atom.
Atoms (fractional coordinates):
Tb (0.0000, 0.0000, 0.0000)  8 Au 3.09
Pr (0.0000, 0.0000, 0.5000)  8 Au 3.29, 4 Pr 3.65
Au (0.5000, 0.5000, 0.2272)  4 Tb 3.09, 4 Pr 3.29, 1 Au 3.40
Au (0.5000, 0.5000, 0.7728)  4 Tb 3.09, 4 Pr 3.29, 1 Au 3.40



[13]
The following is a DFT calculation (PBE) of an optimized crystal structure of Tb2PrAu4.

Output
DFT total energy, eV for the cell shown: -31.38
Calculated density, Mg/m³: 11.4
Space group: No. 123

a = 5.1342 Å, b = 5.1342 Å, c = 6.8968 Å
α = 90.00°, β = 90.00°, γ = 90.00°
With the nearest neighbours (Å) after each atom.
Atoms (fractional coordinates):
Tb (0.0000, 0.0000, 0.0000)  8 Au 3.06
Tb (0.5000, 0.5000, 0.5000)  8 Au 3.12
Pr (0.0000, 0.0000, 0.5000)  8 Au 3.12, 2 Tb 3.45
Au (0.0000, 0.5000, 0.2421)  4 Tb 3.06-3.12, 2 Pr 3.12, 1 Au 3.34
Au (0.0000, 0.5000, 0.7579)  4 Tb 3.06-3.12, 2 Pr 3.12, 1 Au 3.34
Au (0.5000, 0.0000, 0.2421)  4 Tb 3.06-3.12, 2 Pr 3.12, 1 Au 3.34
Au (0.5000, 0.0000, 0.7579)  4 Tb 3.06-3.12, 2 Pr 3.12, 1 Au 3.34